Computed, not measured: Ac4ErCo3O12 after structural relaxation at the GGA+U level of DFT.

The structure in extended XYZ format:
```
20
Lattice="-2.875 3.074 5.544 -4.547 -4.471 -2.791 5.727 -3.436 1.962" Properties=species:S:1:pos:R:3 pbc="T T T"
O 0.755 -0.096 1.986
O -0.429 -0.530 4.441
Ac -2.273 -2.236 -1.396
O -1.265 -4.303 0.273
Er 0.000 0.000 0.000
Ac -0.847 -2.416 2.357
O 2.098 -0.266 5.520
O -2.998 -0.789 3.253
Co 0.590 -3.954 -0.415
O 0.868 -5.815 -0.610
Co 1.426 -0.181 3.753
O 1.303 -4.044 1.462
O -5.458 -1.027 2.025
O 1.721 -2.158 3.546
Co -3.711 -0.698 1.376
O 0.312 -2.092 -0.219
Ac 2.863 -1.718 0.981
O -3.416 -2.675 1.169
O -1.963 -0.370 0.728
Ac -1.437 1.537 2.772
```

Results
**Calculated total energy**: -7.245 eV per atom
**Crystal system**: cubic